The following is a DFT calculation (GGA-PBE) of crystalline Tb2SmIr at its relaxed geometry.

a b c (Å): 3.7950 3.7950 31.7148
angles (deg): 90.00 90.00 120.00
Closest atoms and distances in Å follow each position.
Space group R-3m (No. 166, hexagonal axes)
Inequivalent atoms, fractional coordinates:
Tb 0.0000 0.0000 0.1146 (multiplicity 6)  3 Ir 2.74
Sm 0.0000 0.0000 0.0000 (multiplicity 3)  2 Tb 3.64, 6 Sm 3.80
Ir 0.0000 0.0000 0.5000 (multiplicity 3)  6 Tb 2.74

---

The following is a DFT calculation (GGA-PBE) of crystalline SrSm6Se8 at its relaxed geometry.

Computed properties:
Uncorrected formation energy, eV per atom: -1.88

a b c (Å): 11.8185 11.8185 11.8185
angles (deg): 90.00 90.00 90.00
Closest atoms and distances in Å follow each position.
Space group Fm-3m (No. 225)
Inequivalent atoms, fractional coordinates:
Sr 0.0000 0.0000 0.0000 (multiplicity 4)  6 Se 3.05
Sm 0.0000 0.2500 0.2500 (multiplicity 24)  6 Se 2.95-2.96
Se 0.0000 0.0000 0.2579 (multiplicity 24)  4 Sm 2.96, 1 Sr 3.05
Se 0.2500 0.2500 0.2500 (multiplicity 8)  6 Sm 2.95

---

The following is a DFT calculation (GGA-PBE) of crystalline RePI3 at its relaxed geometry.

Computed properties:
Uncorrected formation energy, eV per atom: 1.36

a b c (Å): 5.5522 5.5522 5.5522
angles (deg): 90.00 90.00 90.00
Closest atoms and distances in Å follow each position.
Space group Pm-3m (No. 221)
Inequivalent atoms, fractional coordinates:
Re 0.0000 0.0000 0.0000 (multiplicity 1)  12 I 3.93
P 0.5000 0.5000 0.5000 (multiplicity 1)  6 I 2.78
I 0.0000 0.5000 0.5000 (multiplicity 3)  2 P 2.78

---

The following is a DFT calculation (GGA-PBE) of crystalline Mn2AgSb at its relaxed geometry.

Computed properties:
Uncorrected formation energy, eV per atom: 0.56

a b c (Å): 4.1588 4.1588 18.3917
angles (deg): 90.00 90.00 90.00
Closest atoms and distances in Å follow each position.
Space group I-42d (No. 122)
Inequivalent atoms, fractional coordinates:
Mn 0.2377 0.2500 0.1250 (multiplicity 8)  2 Sb 2.71, 2 Ag 2.75, 4 Mn 2.87-3.01
Ag 0.0000 0.0000 0.5000 (multiplicity 4)  4 Mn 2.75, 4 Sb 2.94
Sb 0.0000 0.0000 0.0000 (multiplicity 4)  4 Mn 2.71, 4 Ag 2.94

---

The following is a DFT calculation (GGA-PBE) of crystalline MnIrSe at its relaxed geometry.

Computed properties:
Uncorrected formation energy, eV per atom: 0.06

a b c (Å): 5.9777 5.9777 5.9777
angles (deg): 90.00 90.00 90.00
Closest atoms and distances in Å follow each position.
Space group F-43m (No. 216)
Inequivalent atoms, fractional coordinates:
Mn 0.0000 0.0000 0.0000 (multiplicity 4)  4 Ir 2.59
Ir 0.2500 0.2500 0.7500 (multiplicity 4)  4 Mn 2.59, 4 Se 2.59
Se 0.0000 0.0000 0.5000 (multiplicity 4)  4 Ir 2.59

---

The following is a DFT calculation (GGA-PBE) of crystalline Ba2NbCu at its relaxed geometry.

a b c (Å): 8.1571 8.1571 8.1571
angles (deg): 90.00 90.00 90.00
Closest atoms and distances in Å follow each position.
Space group Fm-3m (No. 225)
Inequivalent atoms, fractional coordinates:
Ba 0.2500 0.2500 0.2500 (multiplicity 8)  4 Cu 3.53, 4 Nb 3.53
Nb 0.0000 0.0000 0.0000 (multiplicity 4)  8 Ba 3.53
Cu 0.0000 0.0000 0.5000 (multiplicity 4)  8 Ba 3.53

---

The following is a DFT calculation (GGA-PBE) of crystalline ErLuCdCo at its relaxed geometry.

a b c (Å): 7.0020 7.0020 7.0020
angles (deg): 90.00 90.00 90.00
Closest atoms and distances in Å follow each position.
Space group F-43m (No. 216)
Inequivalent atoms, fractional coordinates:
Er 0.0000 0.0000 0.0000 (multiplicity 4)  4 Co 3.03, 4 Cd 3.03
Lu 0.0000 0.0000 0.5000 (multiplicity 4)  4 Cd 3.03, 4 Co 3.03
Cd 0.2500 0.2500 0.2500 (multiplicity 4)  4 Er 3.03, 4 Lu 3.03
Co 0.2500 0.2500 0.7500 (multiplicity 4)  4 Er 3.03, 4 Lu 3.03

---

The following is a DFT calculation (GGA-PBE) of crystalline KAlAg2 at its relaxed geometry.

a b c (Å): 7.1942 7.1942 7.1942
angles (deg): 90.00 90.00 90.00
Closest atoms and distances in Å follow each position.
Space group F-43m (No. 216)
Inequivalent atoms, fractional coordinates:
K 0.0000 0.0000 0.0000 (multiplicity 4)  4 Al 3.12, 4 Ag 3.12
Al 0.2500 0.2500 0.7500 (multiplicity 4)  4 K 3.12, 4 Ag 3.12
Ag 0.0000 0.0000 0.5000 (multiplicity 4)  4 Al 3.12, 4 Ag 3.12
Ag 0.2500 0.2500 0.2500 (multiplicity 4)  4 K 3.12, 4 Ag 3.12

---

Raw total energy for every record listed, in sequence, given in eV/atom: -5.8564 -5.7336 -3.1414 -5.7649 -7.1076 -3.6510 -4.4464 -2.2711.